Here is a relaxed structure of Zr5Ni from Alexandria. Energies are from PBE-GGA.

abc: 3.220 3.220 12.160
angles: 90.00 90.00 90.00
Atoms (fractional coordinates):
Zr: 0.000 0.000 0.000
Zr: 0.000 0.000 0.366
Zr: 0.000 0.000 0.634
Zr: 0.500 0.500 0.185
Zr: 0.500 0.500 0.815
Ni: 0.500 0.500 0.500

Values from the calculation:
Magnetization   0.0 μB/f.u.
E above lowest polymorph   0 meV per atom
ΔH_f (0 K)   -2.716 kcal/mol of atoms
Space group   P4/mmm, No. 123